(1)
# KSbTe2I | Alexandria | GGA-PBE | relaxed
# Uncorrected formation energy   -146 kJ/mol of formula units
# Density of states at the Fermi level   3.66 states/eV/cell
# Spin magnetization   0.00 μB per cell
# Energy relative to the lowest polymorph listed for this composition   0 meV per atom
# Final energy   -14.57 eV for the cell shown
data_KSbTe2I
_symmetry_space_group_name_H-M 'P 4/m m m'
_symmetry_Int_Tables_number 123
_symmetry_space_group_name_Hall '-P 4 2'
_cell_length_a 5.806
_cell_length_b 5.806
_cell_length_c 6.251
_cell_angle_alpha 90.00
_cell_angle_beta 90.00
_cell_angle_gamma 90.00
loop_
_atom_site_label
_atom_site_type_symbol
_atom_site_fract_x
_atom_site_fract_y
_atom_site_fract_z
_atom_site_occupancy
K1 K 0.000 0.000 0.000 1
Sb1 Sb 0.500 0.500 0.500 1
Te1 Te 0.000 0.500 0.500 1
I1 I 0.500 0.500 0.000 1



(2)
# BeBiTeI2 | Alexandria | GGA-PBE | relaxed
# Uncorrected formation energy   341 kJ/mol of formula units
# Density of states at the Fermi level   5.55 states/eV/cell
# Spin magnetization   0.81 μB per cell
# Energy relative to the lowest polymorph listed for this composition   518 meV per atom
# Final energy   -10.31 eV for the cell shown
data_BeBiTeI2
_symmetry_space_group_name_H-M 'P 4/m m m'
_symmetry_Int_Tables_number 123
_symmetry_space_group_name_Hall '-P 4 2'
_cell_length_a 6.131
_cell_length_b 6.131
_cell_length_c 6.055
_cell_angle_alpha 90.00
_cell_angle_beta 90.00
_cell_angle_gamma 90.00
loop_
_atom_site_label
_atom_site_type_symbol
_atom_site_fract_x
_atom_site_fract_y
_atom_site_fract_z
_atom_site_occupancy
Be1 Be 0.000 0.000 0.000 1
Bi1 Bi 0.500 0.500 0.500 1
Te1 Te 0.500 0.500 0.000 1
I1 I 0.000 0.500 0.500 1



(3)
# CaPrAl | Alexandria | GGA-PBE | relaxed
# Density of states at the Fermi level   2.34 states/eV/cell
# Spin magnetization   0.00 μB per cell
# Energy relative to the lowest polymorph listed for this composition   0 meV per atom
# Final energy   -22.67 eV for the cell shown
data_CaPrAl
_symmetry_space_group_name_H-M 'P 63/m m c'
_symmetry_Int_Tables_number 194
_symmetry_space_group_name_Hall '-P 6c 2c'
_cell_length_a 5.4275
_cell_length_b 5.4275
_cell_length_c 6.8674
_cell_angle_alpha 90.00
_cell_angle_beta 90.00
_cell_angle_gamma 120.00
loop_
_atom_site_label
_atom_site_type_symbol
_atom_site_fract_x
_atom_site_fract_y
_atom_site_fract_z
_atom_site_occupancy
Ca1 Ca 0.0000 0.0000 0.0000 1
Pr1 Pr 0.3333 0.6667 0.2500 1
Al1 Al 0.3333 0.6667 0.7500 1



(4)
# Cd3Rh | Alexandria | GGA-PBE | relaxed
# Density of states at the Fermi level   2.40 states/eV/cell
# Spin magnetization   0.00 μB per cell
# Final energy   -10.29 eV for the cell shown
data_Cd3Rh
_symmetry_space_group_name_H-M 'P m m m'
_symmetry_Int_Tables_number 47
_cell_length_a 3.128
_cell_length_b 3.954
_cell_length_c 6.135
_cell_angle_alpha 90.00
_cell_angle_beta 90.00
_cell_angle_gamma 90.00
loop_
_symmetry_equiv_pos_as_xyz
'x,y,z'
'-x,-y,-z'
'-x,-y,z'
'x,y,-z'
'x,-y,-z'
'-x,y,z'
'-x,y,-z'
'x,-y,z'
loop_
_atom_site_label
_atom_site_type_symbol
_atom_site_fract_x
_atom_site_fract_y
_atom_site_fract_z
_atom_site_occupancy
Cd1 Cd 0.000 0.000 0.000 1
Cd2 Cd 0.500 0.500 0.272 1
Rh1 Rh 0.000 0.000 0.500 1



(5)
# BaSrLa2 | Alexandria | GGA-PBE | relaxed
# Density of states at the Fermi level   6.27 states/eV/cell
# Spin magnetization   0.00 μB per cell
# Energy relative to the lowest polymorph listed for this composition   120 meV per atom
# Final energy   -12.67 eV for the cell shown
data_BaSrLa2
_symmetry_space_group_name_H-M 'P 1 2/m 1'
_symmetry_Int_Tables_number 10
_cell_length_a 3.833
_cell_length_b 6.615
_cell_length_c 7.243
_cell_angle_alpha 90.00
_cell_angle_beta 98.72
_cell_angle_gamma 90.00
loop_
_symmetry_equiv_pos_as_xyz
'x,y,z'
'-x,-y,-z'
'-x,y,-z'
'x,-y,z'
loop_
_atom_site_label
_atom_site_type_symbol
_atom_site_fract_x
_atom_site_fract_y
_atom_site_fract_z
_atom_site_occupancy
Ba1 Ba 0.000 0.000 0.000 1
Sr1 Sr 0.500 0.000 0.500 1
La1 La 0.252 0.500 0.731 1



(6)
# K3Ce3NbSe8 | Alexandria | GGA-PBE | relaxed
# Uncorrected formation energy   -2135 kJ/mol of formula units
# Density of states at the Fermi level   59.68 states/eV/cell
# Spin magnetization   12.01 μB per cell
# Final energy   -243.52 eV for the cell shown
data_K3Ce3NbSe8
_symmetry_space_group_name_H-M 'R -3 m'
_symmetry_Int_Tables_number 166
_symmetry_space_group_name_Hall '-R 3 2"'
_cell_length_a 8.3647
_cell_length_b 8.3647
_cell_length_c 23.5983
_cell_angle_alpha 90.00
_cell_angle_beta 90.00
_cell_angle_gamma 120.00
loop_
_atom_site_label
_atom_site_type_symbol
_atom_site_fract_x
_atom_site_fract_y
_atom_site_fract_z
_atom_site_occupancy
K1 K 0.0000 0.5000 0.0000 1
Ce1 Ce 0.0000 0.5000 0.5000 1
Nb1 Nb 0.0000 0.0000 0.5000 1
Se1 Se 0.0000 0.0000 0.2375 1
Se2 Se 0.0223 0.5112 0.2321 1